Here is an optimized crystal structure of TaAgIr3 from Alexandria. Energies are from PBE-GGA.

Geometry as POSCAR:
```
TaAgIr3
1.0
-0.525 2.850 -3.802
-4.211 -2.051 -0.955
-2.200 3.245 2.736
Ta Ir Ag
1 3 1
Direct
0.000 0.000 0.000
0.500 0.000 0.000
0.000 0.500 0.000
0.000 0.000 0.500
0.500 0.500 0.500
```

DOS(E_F): 5.108 states/eV per cell
E above lowest polymorph: 0.0 meV/atom
energy of formation from the pure elements: 1.433 eV/atom
space group: Pm-3m, No. 221
E_tot: -0.25078 hartree per atom